This record from Alexandria describes crystalline Tl2PPb at its relaxed geometry. The functional is PBE-GGA.

```
Tl2PPb
1.0
4.5340 0.0000 0.0000
0.0000 4.5340 0.0000
0.0000 0.0000 5.3205
Tl Pb P
2 1 1
direct
0.0000 0.5000 0.0000 Tl
0.5000 0.0000 0.0000 Tl
0.0000 0.0000 0.5000 Pb
0.5000 0.5000 0.5000 P
```

Summary:
The calculation puts the energy of formation at 0.216 eV per atom. Its energy above the lowest structure with this stoichiometry is 132 meV per atom. For the total moment, the calculation gives 0.00 μB per formula unit. Its calculated total energy is -3.25 eV/atom. The space group is P4/mmm.